(a)
Below is an optimized crystal structure of KLaTc, with properties calculated at the GGA-PBE level.

Values from the calculation:
total magnetization: 0.000 Bohr magnetons per cell
symmetry: No. 156

a b c (Å): 3.557 3.557 8.420
angles (deg): 90.00 90.00 120.00
Sites, in units of the cell vectors:
K: 0.000 0.000 0.952
La: 0.667 0.333 0.415
Tc: 0.333 0.667 0.633

=====

(b)
Below is an optimized crystal structure of KLaTc, with properties calculated at the GGA-PBE level.

Values from the calculation:
total magnetization: 0.999 Bohr magnetons per cell
symmetry: No. 216

a b c (Å): 5.091 5.091 5.091
angles (deg): 60.00 60.00 60.00
Each line ends with the local moment (μB).
Sites, in units of the cell vectors:
K: 0.000 0.000 0.000  0.00
La: 0.500 0.500 0.500  -0.10
Tc: 0.750 0.750 0.750  1.16

=====

(c)
Below is an optimized crystal structure of KLaTc, with properties calculated at the GGA-PBE level.

Values from the calculation:
total magnetization: 0.000 Bohr magnetons per cell
symmetry: No. 187

a b c (Å): 5.515 5.515 2.844
angles (deg): 90.00 90.00 120.00
Sites, in units of the cell vectors:
K: 0.000 0.000 0.166
La: 0.667 0.333 0.167
Tc: 0.333 0.667 0.667

=====

Calculated relative energies: (a) 0.000; (b) 0.426; (c) 0.254, given in eV/atom

=====

(a)
Below is an optimized crystal structure of KLaTc2, with properties calculated at the GGA-PBE level.

Values from the calculation:
total magnetization: 0.000 Bohr magnetons per cell
symmetry: No. 6

a b c (Å): 4.071 3.133 9.287
angles (deg): 79.57 90.00 90.00
Sites, in units of the cell vectors:
K: 0.000 0.528 0.430
La: 0.500 0.698 0.863
Tc: 0.000 0.980 0.064
Tc: 0.500 0.294 0.143

=====

(b)
Below is an optimized crystal structure of KLaTc2, with properties calculated at the GGA-PBE level.

Values from the calculation:
total magnetization: 0.002 Bohr magnetons per cell
symmetry: No. 71

a b c (Å): 5.822 5.822 5.822
angles (deg): 147.84 126.27 64.01
Sites, in units of the cell vectors:
K: 0.750 0.250 0.500
La: 0.250 0.750 0.500
Tc: 0.029 0.029 0.000
Tc: 0.471 0.471 0.000

=====

(c)
Below is an optimized crystal structure of KLaTc2, with properties calculated at the GGA-PBE level.

Values from the calculation:
total magnetization: 0.000 Bohr magnetons per cell
symmetry: No. 25

a b c (Å): 3.440 3.469 9.674
angles (deg): 90.00 90.00 90.00
Sites, in units of the cell vectors:
K: 0.000 0.000 0.435
La: 0.500 0.500 0.845
Tc: 0.000 0.000 0.080
Tc: 0.500 0.500 0.140

=====

(d)
Below is an optimized crystal structure of KLaTc2, with properties calculated at the GGA-PBE level.

Values from the calculation:
total magnetization: 0.788 Bohr magnetons per cell
symmetry: No. 166

a b c (Å): 11.523 11.523 11.523
angles (deg): 14.68 14.68 14.68
Each line ends with the local moment (μB).
Sites, in units of the cell vectors:
K: 0.250 0.250 0.250  0.00
La: 0.750 0.750 0.750  0.12
Tc: 0.003 0.003 0.003  -0.40
Tc: 0.497 0.497 0.497  -0.40

=====

Calculated relative energies: (a) 0.000; (b) 0.713; (c) 0.023; (d) 0.750, given in eV/atom

=====

(a)
Below is an optimized crystal structure of K2LaTc, with properties calculated at the GGA-PBE level.

Values from the calculation:
total magnetization: 1.375 Bohr magnetons per cell
symmetry: No. 139

a b c (Å): 7.386 7.386 7.386
angles (deg): 144.94 144.94 50.43
Each line ends with the local moment (μB).
Sites, in units of the cell vectors:
K: 0.000 0.000 0.000  -0.02
K: 0.500 0.500 0.000  -0.02
La: 0.250 0.750 0.500  -0.19
Tc: 0.750 0.250 0.500  1.78

=====

(b)
Below is an optimized crystal structure of K2LaTc, with properties calculated at the GGA-PBE level.

Values from the calculation:
total magnetization: 1.302 Bohr magnetons per cell
symmetry: No. 47

a b c (Å): 3.834 4.929 6.767
angles (deg): 90.00 90.00 90.00
Each line ends with the local moment (μB).
Sites, in units of the cell vectors:
K: 0.000 0.000 0.000  -0.01
K: 0.500 0.500 0.000  -0.01
La: 0.500 0.000 0.500  -0.10
Tc: 0.000 0.500 0.500  1.41

=====

Calculated relative energies: (a) 0.021; (b) 0.000, given in eV/atom

=====

(a)
Below is an optimized crystal structure of K2LaTc, with properties calculated at the GGA-PBE level.

Values from the calculation:
total magnetization: 1.446 Bohr magnetons per cell
symmetry: No. 216

a b c (Å): 5.616 5.616 5.616
angles (deg): 120.06 120.06 89.90
Each line ends with the local moment (μB).
Sites, in units of the cell vectors:
K: 0.000 0.000 0.000  -0.01
K: 0.250 0.750 0.500  -0.02
La: 0.500 0.500 0.000  -0.17
Tc: 0.750 0.250 0.500  1.66

=====

(b)
Below is an optimized crystal structure of K2LaTc, with properties calculated at the GGA-PBE level.

Values from the calculation:
total magnetization: 1.791 Bohr magnetons per cell
symmetry: No. 225

a b c (Å): 5.810 5.810 5.810
angles (deg): 60.00 60.00 60.00
Each line ends with the local moment (μB).
Sites, in units of the cell vectors:
K: 0.250 0.250 0.250  -0.02
K: 0.750 0.750 0.750  -0.02
Tc: 0.000 0.000 0.000  2.58
La: 0.500 0.500 0.500  -0.45

=====

(c)
Below is an optimized crystal structure of K2LaTc, with properties calculated at the GGA-PBE level.

Values from the calculation:
total magnetization: 2.459 Bohr magnetons per cell
symmetry: No. 65

a b c (Å): 3.251 3.251 13.341
angles (deg): 90.00 90.00 114.85
Each line ends with the local moment (μB).
Sites, in units of the cell vectors:
K: 0.000 0.000 0.961  0.01
K: 0.000 0.000 0.539  0.01
La: 0.500 0.500 0.250  0.08
Tc: 0.500 0.500 0.750  1.89

=====

(d)
Below is an optimized crystal structure of K2LaTc, with properties calculated at the GGA-PBE level.

Values from the calculation:
total magnetization: 0.000 Bohr magnetons per cell
symmetry: No. 8

a b c (Å): 4.891 4.891 10.511
angles (deg): 78.23 78.23 43.70
Sites, in units of the cell vectors:
K: 0.911 0.911 0.068
K: 0.753 0.753 0.682
La: 0.574 0.574 0.375
Tc: 0.262 0.262 0.375

=====

Calculated relative energies: (a) 0.546; (b) 0.843; (c) 0.651; (d) 0.000, given in eV/atom

=====

(a)
Below is an optimized crystal structure of K2LaTc, with properties calculated at the GGA-PBE level.

Values from the calculation:
total magnetization: 0.490 Bohr magnetons per cell
symmetry: No. 35

a b c (Å): 3.781 3.781 10.968
angles (deg): 90.00 90.00 90.83
Each line ends with the local moment (μB).
Sites, in units of the cell vectors:
K: 0.000 0.000 0.926  0.00
K: 0.500 0.500 0.296  0.00
La: 0.000 0.000 0.598  -0.01
Tc: 0.500 0.500 0.679  0.51

=====

(b)
Below is an optimized crystal structure of K2LaTc, with properties calculated at the GGA-PBE level.

Values from the calculation:
total magnetization: 0.086 Bohr magnetons per cell
symmetry: No. 44

a b c (Å): 6.991 6.991 6.991
angles (deg): 144.32 123.47 68.67
Each line ends with the local moment (μB).
Sites, in units of the cell vectors:
K: 0.045 0.045 0.000  0.00
K: 0.731 0.231 0.500  0.00
La: 0.409 0.409 0.000  0.00
Tc: 0.315 0.815 0.500  0.07

=====

(c)
Below is an optimized crystal structure of K2LaTc, with properties calculated at the GGA-PBE level.

Values from the calculation:
total magnetization: 1.349 Bohr magnetons per cell
symmetry: No. 65

a b c (Å): 7.211 7.211 3.599
angles (deg): 90.00 90.00 132.65
Each line ends with the local moment (μB).
Sites, in units of the cell vectors:
K: 0.000 0.000 0.000  -0.02
K: 0.500 0.500 0.000  -0.02
La: 0.500 0.000 0.500  -0.28
Tc: 0.000 0.500 0.500  1.91

=====

Calculated relative energies: (a) 0.000; (b) 0.122; (c) 0.580, given in eV/atom

=====

(a)
Below is an optimized crystal structure of K2LaTc, with properties calculated at the GGA-PBE level.

Values from the calculation:
total magnetization: 0.000 Bohr magnetons per cell
symmetry: No. 123

a b c (Å): 3.023 3.023 13.242
angles (deg): 90.00 90.00 90.00
Sites, in units of the cell vectors:
K: 0.000 0.000 0.954
K: 0.000 0.000 0.546
La: 0.500 0.500 0.250
Tc: 0.500 0.500 0.750

=====

(b)
Below is an optimized crystal structure of K2LaTc, with properties calculated at the GGA-PBE level.

Values from the calculation:
total magnetization: 0.240 Bohr magnetons per cell
symmetry: No. 71

a b c (Å): 11.003 11.003 11.003
angles (deg): 162.02 156.83 29.48
Each line ends with the local moment (μB).
Sites, in units of the cell vectors:
K: 0.096 0.096 0.000  0.00
K: 0.404 0.404 0.000  0.00
La: 0.750 0.250 0.500  -0.01
Tc: 0.250 0.750 0.500  0.25

=====

Calculated relative energies: (a) 0.704; (b) 0.000, given in eV/atom